[1]
VASP calculation (GGA-PBE) on a relaxed HfGeTe crystal.

Uncorrected energy in eV for the cell shown: -39.43
Space group: No. 129
V in Å³/cell: 129

Cell and atoms, written as POSCAR:
```
HfGeTe
1.0
3.885 0.000 0.000
0.000 3.885 0.000
0.000 0.000 8.559
Hf Ge Te
2 2 2
Direct
0.250 0.250 0.245
0.750 0.750 0.755
0.250 0.750 0.000
0.750 0.250 0.000
0.250 0.250 0.622
0.750 0.750 0.378
```

---

[2]
VASP calculation (GGA-PBE) on a relaxed ErLuHg crystal.

Uncorrected energy in eV for the cell shown: -39.07
E_form in eV per atom: -0.128
Space group: No. 216
V in Å³/cell: 357

Cell and atoms, written as POSCAR:
```
ErLuHg
1.0
7.094 0.000 0.000
0.000 7.094 0.000
0.000 0.000 7.094
Er Lu Hg
4 4 4
Direct
0.000 0.000 0.000
0.000 0.500 0.500
0.500 0.000 0.500
0.500 0.500 0.000
0.000 0.000 0.500
0.000 0.500 0.000
0.500 0.000 0.000
0.500 0.500 0.500
0.250 0.250 0.250
0.250 0.750 0.750
0.750 0.250 0.750
0.750 0.750 0.250
```

---

[3]
VASP calculation (GGA-PBE) on a relaxed Tl2Pd3S2 crystal.

Uncorrected energy in eV for the cell shown: -30.98
Space group: No. 166
V in Å³/cell: 146

Cell and atoms, written as POSCAR:
```
Tl2Pd3S2
1.0
2.975 1.718 4.761
-2.975 1.718 4.761
0.000 -3.435 4.761
Tl Pd S
2 3 2
Direct
0.000 0.000 0.000
0.500 0.500 0.500
0.000 0.500 0.500
0.500 0.000 0.500
0.500 0.500 0.000
0.220 0.220 0.220
0.780 0.780 0.780
```

---

[4]
VASP calculation (GGA-PBE) on a relaxed AgIO3 crystal.

Uncorrected energy in eV for the cell shown: -165.06
Space group: No. 29
V in Å³/cell: 614

Cell and atoms, written as POSCAR:
```
AgIO3
1.0
15.112 0.000 0.000
0.000 7.121 0.000
0.000 0.000 5.703
Ag I O
8 8 24
Direct
0.202 0.107 0.000
0.206 0.630 0.010
0.294 0.630 0.510
0.298 0.107 0.500
0.702 0.893 0.000
0.706 0.370 0.010
0.794 0.370 0.510
0.798 0.893 0.500
0.084 0.864 0.481
0.086 0.370 0.415
0.414 0.370 0.915
0.416 0.864 0.981
0.584 0.136 0.481
0.586 0.630 0.415
0.914 0.630 0.915
0.916 0.136 0.981
0.062 0.174 0.206
0.063 0.565 0.208
0.102 0.063 0.685
0.115 0.664 0.675
0.194 0.875 0.332
0.206 0.364 0.362
0.294 0.364 0.862
0.306 0.875 0.832
0.385 0.664 0.175
0.398 0.063 0.185
0.437 0.565 0.708
0.438 0.174 0.706
0.562 0.826 0.206
0.563 0.435 0.208
0.602 0.937 0.685
0.615 0.336 0.675
0.694 0.125 0.332
0.706 0.636 0.362
0.794 0.636 0.862
0.806 0.125 0.832
0.885 0.336 0.175
0.898 0.937 0.185
0.937 0.435 0.708
0.938 0.826 0.706
```

---

[5]
VASP calculation (GGA-PBE) on a relaxed AgAsW2 crystal.

Uncorrected energy in eV for the cell shown: -120.52
Space group: No. 216
V in Å³/cell: 266

Cell and atoms, written as POSCAR:
```
AgAsW2
1.0
6.431 0.000 0.000
0.000 6.431 0.000
0.000 0.000 6.431
Ag As W
4 4 8
Direct
0.000 0.000 0.000
0.000 0.500 0.500
0.500 0.000 0.500
0.500 0.500 0.000
0.250 0.250 0.750
0.250 0.750 0.250
0.750 0.250 0.250
0.750 0.750 0.750
0.000 0.000 0.500
0.000 0.500 0.000
0.250 0.250 0.250
0.250 0.750 0.750
0.500 0.000 0.000
0.500 0.500 0.500
0.750 0.250 0.750
0.750 0.750 0.250
```

---

[6]
VASP calculation (GGA-PBE) on a relaxed NaOs3Se5 crystal.

Uncorrected energy in eV for the cell shown: -51.76
Space group: No. 191
V in Å³/cell: 207

Cell and atoms, written as POSCAR:
```
NaOs3Se5
1.0
5.798 0.000 0.000
-2.899 5.021 0.000
0.000 0.000 7.126
Na Os Se
1 3 5
Direct
0.000 0.000 0.000
0.000 0.500 0.500
0.500 0.000 0.500
0.500 0.500 0.500
0.000 0.000 0.500
0.333 0.667 0.244
0.333 0.667 0.756
0.667 0.333 0.244
0.667 0.333 0.756
```

---

[7]
VASP calculation (GGA-PBE) on a relaxed CsUHg crystal.

Uncorrected energy in eV for the cell shown: -30.88
Space group: No. 216
V in Å³/cell: 446

Cell and atoms, written as POSCAR:
```
CsUHg
1.0
7.641 0.000 0.000
0.000 7.641 0.000
0.000 0.000 7.641
Cs U Hg
4 4 4
Direct
0.000 0.000 0.000
0.000 0.500 0.500
0.500 0.000 0.500
0.500 0.500 0.000
0.250 0.250 0.250
0.250 0.750 0.750
0.750 0.250 0.750
0.750 0.750 0.250
0.250 0.250 0.750
0.250 0.750 0.250
0.750 0.250 0.250
0.750 0.750 0.750
```

---

[8]
VASP calculation (GGA-PBE) on a relaxed HoZr crystal.

Uncorrected energy in eV for the cell shown: -78.13
E_form in eV per atom: 0.051
Space group: No. 11
V in Å³/cell: 321

Cell and atoms, written as POSCAR:
```
HoZr
1.0
6.750 0.000 0.000
0.000 5.358 0.000
-1.641 0.000 8.882
Ho Zr
6 6
Direct
0.142 0.250 0.077
0.302 0.250 0.712
0.357 0.750 0.939
0.643 0.250 0.061
0.698 0.750 0.288
0.858 0.750 0.923
0.020 0.750 0.602
0.202 0.750 0.302
0.468 0.250 0.396
0.532 0.750 0.604
0.798 0.250 0.698
0.980 0.250 0.398
```

---

[9]
VASP calculation (GGA-PBE) on a relaxed LaPr2Ga2Fe4 crystal.

Uncorrected energy in eV for the cell shown: -55.00
Space group: No. 12
V in Å³/cell: 179

Cell and atoms, written as POSCAR:
```
LaPr2Ga2Fe4
1.0
5.199 -2.123 0.000
5.199 2.123 0.000
-1.478 0.000 8.117
La Pr Ga Fe
1 2 2 4
Direct
0.000 0.000 0.000
0.373 0.373 0.621
0.627 0.627 0.379
0.325 0.325 0.224
0.675 0.675 0.776
0.081 0.081 0.635
0.242 0.242 0.923
0.758 0.758 0.077
0.919 0.919 0.365
```

---

[10]
VASP calculation (GGA-PBE) on a relaxed LuBTe crystal.

Uncorrected energy in eV for the cell shown: -53.13
Space group: No. 216
V in Å³/cell: 253

Cell and atoms, written as POSCAR:
```
LuBTe
1.0
6.326 0.000 0.000
0.000 6.326 0.000
0.000 0.000 6.326
Lu B Te
4 4 4
Direct
0.000 0.000 0.000
0.000 0.500 0.500
0.500 0.000 0.500
0.500 0.500 0.000
0.250 0.250 0.250
0.250 0.750 0.750
0.750 0.250 0.750
0.750 0.750 0.250
0.000 0.000 0.500
0.000 0.500 0.000
0.500 0.000 0.000
0.500 0.500 0.500
```

---

[11]
VASP calculation (GGA-PBE) on a relaxed Ba2Sn3Au crystal.

Uncorrected energy in eV for the cell shown: -46.14
Space group: No. 69
V in Å³/cell: 411

Cell and atoms, written as POSCAR:
```
Ba2Sn3Au
1.0
0.000 5.061 8.380
4.844 0.000 8.380
4.844 5.061 0.000
Ba Sn Au
4 6 2
Direct
0.246 0.754 0.246
0.250 0.250 0.250
0.750 0.750 0.750
0.754 0.246 0.754
0.170 0.170 0.830
0.172 0.657 0.828
0.343 0.828 0.657
0.657 0.172 0.343
0.828 0.343 0.172
0.830 0.830 0.170
0.333 0.333 0.667
0.667 0.667 0.333
```

---

[12]
VASP calculation (GGA-PBE) on a relaxed DyAlPO crystal.

Uncorrected energy in eV for the cell shown: -45.81
Space group: No. 129
V in Å³/cell: 153

Cell and atoms, written as POSCAR:
```
DyAlPO
1.0
4.043 0.000 0.000
0.000 4.043 0.000
0.000 0.000 9.356
Dy Al P O
2 2 2 2
Direct
0.250 0.750 0.000
0.750 0.250 0.000
0.250 0.250 0.443
0.750 0.750 0.557
0.250 0.250 0.197
0.750 0.750 0.803
0.250 0.750 0.500
0.750 0.250 0.500
```

---

[13]
VASP calculation (GGA-PBE) on a relaxed Dy2Y3Tm2Ni2Te2 crystal.

Uncorrected energy in eV for the cell shown: -62.45
Space group: No. 44
V in Å³/cell: 287

Cell and atoms, written as POSCAR:
```
Dy2Y3Tm2Ni2Te2
1.0
-1.923 7.808 4.775
1.923 -7.808 4.775
1.923 7.808 -4.775
Dy Y Tm Ni Te
2 3 2 2 2
Direct
0.186 0.000 0.186
0.814 0.000 0.814
0.168 0.799 0.369
0.430 0.799 0.631
0.881 0.381 0.500
0.504 0.652 0.853
0.799 0.652 0.147
0.044 0.308 0.736
0.572 0.308 0.264
0.145 0.145 0.000
0.546 0.046 0.500
```